Entry 1:
5
Lattice="-2.409 -2.318 2.289 2.520 0.479 3.137 -2.065 3.289 1.157" Properties=species:S:1:pos:R:3 comment="PBEsol SiIr3C, relaxed" raw_formation_energy_ev_per_atom=0.565 spacegroup="Pm-3m (221)" pbc="T T T"
Si -0.977 0.725 3.291
Ir 1.260 0.239 1.568
Ir -1.032 1.644 0.578
Ir -1.205 -1.159 1.145
C 0.000 0.000 0.000

Entry 2:
4
Lattice="-3.935 -1.764 0.115 1.202 -2.465 3.329 -0.021 5.399 1.212" Properties=species:S:1:pos:R:3 comment="PBEsol ScInHg2, relaxed" spacegroup="I-4m2 (119)" formation_energy_ev_per_atom=-0.271 pbc="T T T"
Sc -0.092 0.410 3.131
Hg 0.000 0.000 0.000
Hg -2.661 0.761 1.524
In -1.366 -2.115 1.722

Entry 3:
4
Lattice="-0.084 -3.519 -0.240 3.527 -0.086 0.019 -0.042 -0.408 5.984" Properties=species:S:1:pos:R:3 comment="PBEsol Sc2MnAu, relaxed" spacegroup="P4mm (99)" formation_energy_ev_per_atom=-0.147 pbc="T T T"
Au -0.020 -0.201 2.951
Mn 1.690 -2.115 4.474
Sc -0.040 -0.390 5.723
Sc 1.710 -1.918 1.591

Entry 4:
4
Lattice="4.425 0.000 0.000 2.212 3.832 0.000 2.212 1.277 3.613" Properties=species:S:1:pos:R:3 comment="PBEsol CrAg2Ru, relaxed" spacegroup="Fm-3m (225)" polymorph_energy_mev_per_atom=217 formation_energy_ev_per_atom=0.744 pbc="T T T"
Ru 4.425 2.555 1.806
Ag 2.212 1.277 0.903
Ag 6.637 3.832 2.710
Cr 0.000 0.000 0.000

no.,calculated volume (Å³ per atom)
1,13.304
2,21.476
3,18.669
4,15.313